[1]
NbTeAuI | PBE | relaxed

## Properties
* mass density: 8.7 Mg/m³
* distance to the lowest polymorph of the same formula: 0.2444 eV/atom
* energy: -4.386 eV per atom
* energy relative to the elements, uncorrected: 48 kJ/mol of formula units
* Fermi-level density of states: 3.2 states/eV/cell

Cell lengths 5.0762, 5.0762, 6.2834 Å; angles 107.55, 107.55, 42.50 degrees
Positions (direct):
Nb: 0.0000 0.0000 0.0000
Te: 0.3621 0.3621 0.6681
Au: 0.0485 0.0485 0.4912
I: 0.7343 0.7343 0.1095

[2]
NbTeAuI | PBE | relaxed

## Properties
* mass density: 6.8 Mg/m³
* distance to the lowest polymorph of the same formula: 0.1420 eV/atom
* energy: -4.489 eV per atom
* energy relative to the elements, uncorrected: 8 kJ/mol of formula units
* Fermi-level density of states: 1.0 states/eV/cell

Cell lengths 5.0704, 3.6353, 7.5151 Å; angles 90.00, 105.88, 90.00 degrees
Positions (direct):
Nb: 0.0000 0.0000 0.0000
Te: 0.9125 0.5000 0.2522
Au: 0.4049 0.5000 0.9903
I: 0.5833 0.0000 0.6903

[3]
NbTeAuI | PBE | relaxed

## Properties
* mass density: 7.8 Mg/m³
* distance to the lowest polymorph of the same formula: 0.0700 eV/atom
* energy: -4.561 eV per atom
* energy relative to the elements, uncorrected: -20 kJ/mol of formula units
* Fermi-level density of states: 2.2 states/eV/cell

Cell lengths 3.7365, 3.6493, 8.7346 Å; angles 90.00, 102.17, 90.00 degrees
Positions (direct):
Nb: 0.0000 0.0000 0.0000
Te: 0.8429 0.0000 0.6808
Au: 0.4288 0.5000 0.8554
I: 0.1233 0.5000 0.2508

[4]
NbTeAuI | PBE | relaxed

## Properties
* mass density: 7.8 Mg/m³
* distance to the lowest polymorph of the same formula: 0.1333 eV/atom
* energy: -4.497 eV per atom
* energy relative to the elements, uncorrected: 5 kJ/mol of formula units
* Fermi-level density of states: 3.5 states/eV/cell

Cell lengths 3.8441, 4.1749, 7.2355 Å; angles 90.00, 90.00, 90.00 degrees
Positions (direct):
Nb: 0.0000 0.0000 0.0000
Te: 0.5000 0.0000 0.2956
Au: 0.5000 0.5000 0.0669
I: 0.0000 0.5000 0.7051

> Which of these has the highest energy?

number 1